No. 1
# TbPb, optimized geometry, DFT GGA-PBE
data_TbPb
_chemical_formula_sum 'Tb4 Pb4'
_cell_length_a 6.3188
_cell_length_b 6.3188
_cell_length_c 6.3188
_cell_angle_alpha 90.00
_cell_angle_beta 90.00
_cell_angle_gamma 90.00
_symmetry_space_group_name_H-M 'F m -3 m'
_symmetry_Int_Tables_number 225
_symmetry_space_group_name_Hall '-F 4 2 3'
loop_
_atom_site_label
_atom_site_type_symbol
_atom_site_fract_x
_atom_site_fract_y
_atom_site_fract_z
Tb1 Tb 0.0000 0.0000 0.0000
Pb1 Pb 0.0000 0.0000 0.5000
# Calculated density in g/cm³: 9.64
# Crystal system: cubic
# DFT formation energy in eV/f.u.: -0.70
# E in eV for the cell shown: -36.158

No. 2
# CsKHg2, optimized geometry, DFT GGA-PBE
data_CsKHg2
_chemical_formula_sum 'Cs4 K4 Hg8'
_cell_length_a 8.8537
_cell_length_b 8.4682
_cell_length_c 10.1598
_cell_angle_alpha 90.00
_cell_angle_beta 90.00
_cell_angle_gamma 90.00
_symmetry_space_group_name_H-M 'P n m a'
_symmetry_Int_Tables_number 62
_symmetry_space_group_name_Hall '-P 2ac 2n'
loop_
_atom_site_label
_atom_site_type_symbol
_atom_site_fract_x
_atom_site_fract_y
_atom_site_fract_z
Cs1 Cs 0.0009 0.2500 0.1724
K1 K 0.1709 0.7500 0.3118
Hg1 Hg 0.1547 0.0645 0.5392
# Calculated density in g/cm³: 5.00
# Crystal system: orthorhombic
# DFT formation energy in eV/f.u.: -0.94
# Energy relative to the lowest polymorph listed for this composition in eV/atom: 0.000
# E in eV for the cell shown: -13.983

No. 3
# Li2LaAsF, optimized geometry, DFT GGA-PBE
data_Li2LaAsF
_chemical_formula_sum 'Li2 La1 As1 F1'
_cell_length_a 4.2932
_cell_length_b 4.2932
_cell_length_c 5.1421
_cell_angle_alpha 90.00
_cell_angle_beta 90.00
_cell_angle_gamma 90.00
_symmetry_space_group_name_H-M 'P 4/m m m'
_symmetry_Int_Tables_number 123
_symmetry_space_group_name_Hall '-P 4 2'
loop_
_atom_site_label
_atom_site_type_symbol
_atom_site_fract_x
_atom_site_fract_y
_atom_site_fract_z
Li1 Li 0.0000 0.5000 0.0000
La1 La 0.0000 0.0000 0.5000
As1 As 0.5000 0.5000 0.5000
F1 F 0.0000 0.0000 0.0000
# Calculated density in g/cm³: 4.32
# Crystal system: tetragonal
# E in eV for the cell shown: -22.933

No. 4
# Co2PRh, optimized geometry, DFT GGA-PBE
data_Co2PRh
_chemical_formula_sum 'Co8 P4 Rh4'
_cell_length_a 5.7605
_cell_length_b 5.7605
_cell_length_c 5.7605
_cell_angle_alpha 90.00
_cell_angle_beta 90.00
_cell_angle_gamma 90.00
_symmetry_space_group_name_H-M 'F -4 3 m'
_symmetry_Int_Tables_number 216
_symmetry_space_group_name_Hall 'F -4 2 3'
loop_
_atom_site_label
_atom_site_type_symbol
_atom_site_fract_x
_atom_site_fract_y
_atom_site_fract_z
Co1 Co 0.0000 0.0000 0.0000
Co2 Co 0.2500 0.2500 0.2500
P1 P 0.0000 0.0000 0.5000
Rh1 Rh 0.2500 0.2500 0.7500
# Calculated density in g/cm³: 8.75
# Crystal system: cubic
# DFT formation energy in eV/f.u.: -0.10
# E in eV for the cell shown: -108.301